{"formula": "CePa7", "functional": "GGA-PBE", "state": "optimized geometry", "lattice_angstrom": [[-3.216, -0.824, -5.689], [3.363, -0.503, -5.641], [0.305, -5.778, -3.148]], "species": ["Pa", "Pa", "Pa", "Pa", "Pa", "Pa", "Pa", "Ce"], "fractional_positions": [[0.500, 0.500, 0.500], [0.500, 0.000, 0.000], [0.000, 0.500, 0.000], [0.500, 0.000, 0.500], [0.500, 0.500, 0.000], [0.000, 0.000, 0.500], [0.000, 0.500, 0.500], [0.000, 0.000, 0.000]], "e_form_mev_per_atom": 27}

{"formula": "Ce2Pa", "functional": "GGA-PBE", "state": "optimized geometry", "lattice_angstrom": [[3.955, -0.008, 0.002], [-0.008, 3.955, 0.002], [-1.971, -1.971, 4.835]], "species": ["Ce", "Ce", "Pa"], "fractional_positions": [[0.835, 0.835, 0.669], [0.165, 0.165, 0.331], [0.500, 0.500, 0.000]], "e_form_mev_per_atom": 142}

{"formula": "Ce3Pa2", "functional": "GGA-PBE", "state": "optimized geometry", "lattice_angstrom": [[6.084, 0.000, 0.000], [3.042, 5.269, 0.000], [3.042, 1.756, 8.173]], "species": ["Pa", "Pa", "Pa", "Pa", "Ce", "Ce", "Ce", "Ce", "Ce", "Ce"], "fractional_positions": [[0.810, 0.810, 0.570], [0.190, 0.190, 0.430], [0.310, 0.310, 0.070], [0.690, 0.690, 0.930], [0.750, 0.750, 0.250], [0.250, 0.750, 0.250], [0.250, 0.750, 0.750], [0.250, 0.250, 0.750], [0.750, 0.250, 0.250], [0.750, 0.250, 0.750]], "e_form_mev_per_atom": 323}

{"formula": "Ce2Pa3", "functional": "GGA-PBE", "state": "optimized geometry", "lattice_angstrom": [[3.289, 0.000, 0.000], [1.645, 2.849, 0.000], [1.645, 0.950, 13.549]], "species": ["Pa", "Pa", "Pa", "Ce", "Ce"], "fractional_positions": [[0.500, 0.500, 0.500], [0.900, 0.900, 0.301], [0.100, 0.100, 0.699], [0.700, 0.700, 0.899], [0.300, 0.300, 0.101]], "e_form_mev_per_atom": 16}

{"formula": "Ce2Pa", "functional": "GGA-PBE", "state": "optimized geometry", "lattice_angstrom": [[3.264, -0.048, -0.388], [-1.740, 2.761, -0.388], [0.210, 0.373, 8.336]], "species": ["Ce", "Ce", "Pa"], "fractional_positions": [[0.930, 0.410, 0.340], [0.590, 0.070, 0.660], [0.058, 0.942, 0.000]], "e_form_mev_per_atom": 76}

{"formula": "CePa8", "functional": "GGA-PBE", "state": "optimized geometry", "lattice_angstrom": [[-2.708, -1.466, -0.939], [2.446, -3.293, -7.431], [1.070, -7.696, 3.414]], "species": ["Pa", "Pa", "Pa", "Pa", "Pa", "Pa", "Pa", "Pa", "Ce"], "fractional_positions": [[0.000, 0.667, 0.333], [0.667, 0.333, 0.333], [0.000, 0.333, 0.667], [0.331, 0.338, 0.000], [0.331, 0.000, 0.338], [0.669, 0.662, 0.000], [0.669, 0.000, 0.662], [0.333, 0.667, 0.667], [0.000, 0.000, 0.000]], "e_form_mev_per_atom": 37}

{"formula": "Ce3Pa2", "functional": "GGA-PBE", "state": "optimized geometry", "lattice_angstrom": [[-2.363, 0.123, 2.264], [0.439, -3.183, 0.631], [9.073, 4.297, 6.867]], "species": ["Pa", "Pa", "Ce", "Ce", "Ce"], "fractional_positions": [[0.900, 0.900, 0.799], [0.100, 0.100, 0.201], [0.699, 0.699, 0.397], [0.301, 0.301, 0.603], [0.500, 0.500, 0.000]], "e_form_mev_per_atom": 34}

{"formula": "Ce4Pa3", "functional": "GGA-PBE", "state": "optimized geometry", "lattice_angstrom": [[4.726, 0.000, 0.000], [0.000, 7.286, 1.170], [-2.363, -1.585, 4.951]], "species": ["Ce", "Ce", "Ce", "Ce", "Pa", "Pa", "Pa"], "fractional_positions": [[0.713, 0.144, 0.426], [0.572, 0.714, 0.144], [0.287, 0.856, 0.574], [0.428, 0.286, 0.856], [0.857, 0.572, 0.715], [0.143, 0.428, 0.285], [0.000, 0.000, 0.000]], "e_form_mev_per_atom": 49}

{"formula": "Ce2Pa3", "functional": "GGA-PBE", "state": "optimized geometry", "lattice_angstrom": [[7.655, 0.000, 0.000], [3.828, 6.630, 0.000], [3.828, 2.210, 5.013]], "species": ["Pa", "Pa", "Pa", "Pa", "Pa", "Pa", "Ce", "Ce", "Ce", "Ce"], "fractional_positions": [[0.498, 0.002, 0.750], [0.002, 0.750, 0.750], [0.250, 0.502, 0.250], [0.502, 0.998, 0.250], [0.998, 0.250, 0.250], [0.750, 0.498, 0.750], [0.590, 0.590, 0.229], [0.910, 0.910, 0.271], [0.410, 0.410, 0.771], [0.090, 0.090, 0.729]], "e_form_mev_per_atom": 410}

{"formula": "Ce2Pa13", "functional": "GGA-PBE", "state": "optimized geometry", "lattice_angstrom": [[-0.138, -4.317, -6.180], [-4.937, -4.659, 3.281], [-5.743, 4.026, -2.767]], "species": ["Pa", "Pa", "Pa", "Pa", "Pa", "Pa", "Pa", "Pa", "Pa", "Pa", "Pa", "Pa", "Pa", "Ce", "Ce"], "fractional_positions": [[0.311, 0.996, 0.996], [0.275, 0.722, 0.275], [0.725, 0.725, 0.278], [0.278, 0.725, 0.725], [0.004, 0.689, 0.004], [0.004, 0.004, 0.689], [0.275, 0.275, 0.722], [0.996, 0.311, 0.996], [0.725, 0.278, 0.725], [0.722, 0.275, 0.275], [0.996, 0.996, 0.311], [0.500, 0.500, 0.500], [0.689, 0.004, 0.004], [0.275, 0.275, 0.275], [0.725, 0.725, 0.725]], "e_form_mev_per_atom": 660}

{"formula": "Ce4Pa3", "functional": "GGA-PBE", "state": "optimized geometry", "lattice_angstrom": [[-2.537, -1.147, 1.744], [1.130, -3.065, -0.356], [8.144, -0.472, 14.651]], "species": ["Ce", "Ce", "Ce", "Ce", "Pa", "Pa", "Pa"], "fractional_positions": [[0.856, 0.856, 0.287], [0.144, 0.144, 0.713], [0.429, 0.429, 0.142], [0.571, 0.571, 0.858], [0.715, 0.715, 0.570], [0.000, 0.000, 0.000], [0.285, 0.285, 0.430]], "e_form_mev_per_atom": 26}

{"formula": "CePaPb6", "functional": "GGA-PBE", "state": "optimized geometry", "lattice_angstrom": [[4.859, 0.000, 0.000], [0.000, 4.859, 0.000], [0.000, 0.000, 9.723]], "species": ["Pb", "Pb", "Pb", "Pb", "Pb", "Pb", "Ce", "Pa"], "fractional_positions": [[0.000, 0.500, 0.747], [0.000, 0.500, 0.253], [0.500, 0.500, 0.500], [0.500, 0.000, 0.747], [0.500, 0.000, 0.253], [0.500, 0.500, 0.000], [0.000, 0.000, 0.000], [0.000, 0.000, 0.500]], "e_form_mev_per_atom": -179}

Which Fermi-level density of states belongs to each record? In order, 18.77 7.07 29.17 10.61 7.20 21.09 10.18 15.58 29.16 40.13 15.32 10.88 states/eV/cell.